1.
AcPm3B4O12 | PBE | optimized geometry

Cell and atoms, written as POSCAR:
```
AcPm3B4O12
1.0
-3.1164 -4.5263 3.8607
4.9134 2.1033 4.0668
-4.2767 5.1723 0.2465
Ac Pm B O
1 3 4 12
direct
0.0000 0.0000 0.0000
0.5328 0.4672 0.0000
0.4672 0.0000 0.5328
0.0000 0.5328 0.4672
0.9651 0.0349 0.5000
0.0349 0.5000 0.9651
0.5000 0.9651 0.0349
0.5000 0.5000 0.5000
0.5000 0.3669 0.6331
0.9018 0.5000 0.0982
0.0982 0.9018 0.5000
0.5000 0.0982 0.9018
0.3708 0.9737 0.1723
0.1723 0.3708 0.9737
0.9737 0.1723 0.3708
0.6292 0.8277 0.0263
0.0263 0.6292 0.8277
0.8277 0.0263 0.6292
0.6331 0.5000 0.3669
0.3669 0.6331 0.5000
```

Results
The volume is 14.0 Å³/atom. For the energy, the calculation gives -165.36 eV per cell. Its formation energy (no corrections) is -70.10 kcal/mol of atoms. As for the density of states at the Fermi level: 0.000 states/eV/atom. The space group is R32 (155).


2.
AcPmB2O6 | PBE | optimized geometry

Cell and atoms, written as POSCAR:
```
AcPmB2O6
1.0
6.5190 -0.1342 0.0561
-0.9313 6.4536 0.0561
-1.5605 -1.7648 6.3029
Ac Pm B O
2 2 4 12
direct
0.1531 0.8469 0.2500
0.8469 0.1531 0.7500
0.5950 0.4050 0.2500
0.4050 0.5950 0.7500
0.3599 0.1288 0.7217
0.8712 0.6401 0.7783
0.6401 0.8712 0.2783
0.1288 0.3599 0.2217
0.9245 0.3928 0.1557
0.6072 0.0755 0.3443
0.0755 0.6072 0.8443
0.3928 0.9245 0.6557
0.1934 0.1860 0.1141
0.8140 0.8066 0.3859
0.8066 0.8140 0.8859
0.1860 0.1934 0.6141
0.2841 0.5187 0.3790
0.4813 0.7159 0.1210
0.7159 0.4813 0.6210
0.5187 0.2841 0.8790
```

Results
The volume is 13.3 Å³/atom. For the energy, the calculation gives -165.39 eV per cell. Its formation energy (no corrections) is -70.87 kcal/mol of atoms. As for the density of states at the Fermi level: 0.000 states/eV/atom. The space group is C2/c (15).


3.
AcPr3B4O12 | PBE | optimized geometry

Cell and atoms, written as POSCAR:
```
AcPr3B4O12
1.0
6.7747 0.1467 0.2038
-1.4900 6.6104 0.2038
-1.4900 -1.9051 6.3332
Ac Pr B O
1 3 4 12
direct
0.0000 0.0000 0.0000
0.5286 0.4714 0.0000
0.4714 0.0000 0.5286
0.0000 0.5286 0.4714
0.9691 0.0309 0.5000
0.0309 0.5000 0.9691
0.5000 0.9691 0.0309
0.5000 0.5000 0.5000
0.5000 0.3680 0.6320
0.8989 0.5000 0.1011
0.1011 0.8989 0.5000
0.5000 0.1011 0.8989
0.3690 0.9749 0.1651
0.1651 0.3690 0.9749
0.9749 0.1651 0.3690
0.6310 0.8349 0.0251
0.0251 0.6310 0.8349
0.8349 0.0251 0.6310
0.6320 0.5000 0.3680
0.3680 0.6320 0.5000
```

Results
The volume is 14.5 Å³/atom. For the energy, the calculation gives -164.77 eV per cell. Its formation energy (no corrections) is -69.31 kcal/mol of atoms. As for the density of states at the Fermi level: 0.000 states/eV/atom. The space group is R32 (155).


4.
Ac3PrB4O12 | PBE | optimized geometry

Cell and atoms, written as POSCAR:
```
Ac3PrB4O12
1.0
-2.2303 -6.3059 1.5461
4.2288 -1.3965 -5.2245
4.5280 1.0190 5.0585
Ac Pr B O
3 1 4 12
direct
0.5153 0.4847 0.0000
0.4847 0.0000 0.5153
0.0000 0.5153 0.4847
0.0000 0.0000 0.0000
0.9826 0.0174 0.5000
0.0174 0.5000 0.9826
0.5000 0.9826 0.0174
0.5000 0.5000 0.5000
0.5000 0.3696 0.6304
0.8871 0.5000 0.1129
0.1129 0.8871 0.5000
0.5000 0.1129 0.8871
0.3572 0.9760 0.1387
0.1387 0.3572 0.9760
0.9760 0.1387 0.3572
0.6428 0.8613 0.0240
0.0240 0.6428 0.8613
0.8613 0.0240 0.6428
0.6304 0.5000 0.3696
0.3696 0.6304 0.5000
```

Results
The volume is 15.2 Å³/atom. For the energy, the calculation gives -163.52 eV per cell. Its formation energy (no corrections) is -69.43 kcal/mol of atoms. As for the density of states at the Fermi level: 0.000 states/eV/atom. The space group is R32 (155).


5.
AcB2Pt2O7 | PBE | optimized geometry

Cell and atoms, written as POSCAR:
```
AcB2Pt2O7
1.0
-3.7865 -2.6987 1.8710
0.6405 -2.6274 4.2199
-3.8944 5.7770 7.1645
Ac B Pt O
1 2 2 7
direct
0.0000 0.0000 0.0000
0.7239 0.7239 0.8284
0.2761 0.2761 0.1716
0.5633 0.5633 0.3101
0.4367 0.4367 0.6899
0.3257 0.9824 0.1632
0.9824 0.5287 0.1632
0.5287 0.3257 0.1632
0.5000 0.5000 0.5000
0.6743 0.4713 0.8368
0.4713 0.0176 0.8368
0.0176 0.6743 0.8368
```

Results
The volume is 17.3 Å³/atom. For the energy, the calculation gives -82.99 eV per cell. Its formation energy (no corrections) is -36.01 kcal/mol of atoms. As for the density of states at the Fermi level: 0.457 states/eV/atom. The space group is R32 (155).


6.
AcB2PtO8 | PBE | optimized geometry

Cell and atoms, written as POSCAR:
```
AcB2PtO8
1.0
4.9700 0.0000 0.0000
-2.4850 4.3041 0.0000
0.0000 0.0000 7.1452
Ac B Pt O
1 2 1 8
direct
0.0000 0.0000 0.5000
0.3333 0.6667 0.7622
0.6667 0.3333 0.2378
0.0000 0.0000 0.0000
0.1697 0.3395 0.8137
0.1697 0.8303 0.8137
0.6605 0.8303 0.8137
0.3395 0.1697 0.1863
0.6667 0.3333 0.4427
0.3333 0.6667 0.5573
0.8303 0.6605 0.1863
0.8303 0.1697 0.1863
```

Results
The volume is 12.7 Å³/atom. For the energy, the calculation gives -82.62 eV per cell. Its formation energy (no corrections) is -37.39 kcal/mol of atoms. As for the density of states at the Fermi level: 0.580 states/eV/atom. The space group is P-3m1 (164).


7.
AcPuBO5 | PBE | optimized geometry

Cell and atoms, written as POSCAR:
```
AcPuBO5
1.0
5.7542 -0.0630 0.1181
-1.7400 5.4851 0.1181
-1.5222 -2.0560 6.9590
Ac Pu B O
2 2 2 10
direct
0.3555 0.6445 0.2500
0.6445 0.3555 0.7500
0.0000 0.0000 0.5000
0.0000 0.0000 0.0000
0.6876 0.3124 0.2500
0.3124 0.6876 0.7500
0.0971 0.9029 0.2500
0.9029 0.0971 0.7500
0.8878 0.3225 0.1401
0.1122 0.6775 0.8599
0.6775 0.1122 0.3599
0.3225 0.8878 0.6401
0.7430 0.5643 0.3946
0.2570 0.4357 0.6054
0.4357 0.2570 0.1054
0.5643 0.7430 0.8946
```

Results
The volume is 13.9 Å³/atom. For the energy, the calculation gives -145.40 eV per cell. Its formation energy (no corrections) is -65.70 kcal/mol of atoms. As for the density of states at the Fermi level: 0.284 states/eV/atom. The space group is C2/c (15).


8.
Ac3PuB4O12 | PBE | optimized geometry

Cell and atoms, written as POSCAR:
```
Ac3PuB4O12
1.0
-4.9412 4.2948 2.0360
-2.5399 -2.1198 -6.0051
-1.3301 -5.4458 3.9471
Ac Pu B O
3 1 4 12
direct
0.5135 0.4865 0.0000
0.4865 0.0000 0.5135
0.0000 0.5135 0.4865
0.0000 0.0000 0.0000
0.9865 0.0135 0.5000
0.0135 0.5000 0.9865
0.5000 0.9865 0.0135
0.5000 0.5000 0.5000
0.5000 0.3697 0.6303
0.8834 0.5000 0.1166
0.1166 0.8834 0.5000
0.5000 0.1166 0.8834
0.3570 0.9804 0.1349
0.1349 0.3570 0.9804
0.9804 0.1349 0.3570
0.6430 0.8651 0.0196
0.0196 0.6430 0.8651
0.8651 0.0196 0.6430
0.6303 0.5000 0.3697
0.3697 0.6303 0.5000
```

Results
The volume is 15.1 Å³/atom. For the energy, the calculation gives -171.34 eV per cell. Its formation energy (no corrections) is -67.42 kcal/mol of atoms. As for the density of states at the Fermi level: 0.468 states/eV/atom. The space group is R32 (155).


Which formula does entry 1 have? AcPm3B4O12


Copy entry 7 word for word.
AcPuBO5 | PBE | optimized geometry

Cell and atoms, written as POSCAR:
```
AcPuBO5
1.0
5.7542 -0.0630 0.1181
-1.7400 5.4851 0.1181
-1.5222 -2.0560 6.9590
Ac Pu B O
2 2 2 10
direct
0.3555 0.6445 0.2500
0.6445 0.3555 0.7500
0.0000 0.0000 0.5000
0.0000 0.0000 0.0000
0.6876 0.3124 0.2500
0.3124 0.6876 0.7500
0.0971 0.9029 0.2500
0.9029 0.0971 0.7500
0.8878 0.3225 0.1401
0.1122 0.6775 0.8599
0.6775 0.1122 0.3599
0.3225 0.8878 0.6401
0.7430 0.5643 0.3946
0.2570 0.4357 0.6054
0.4357 0.2570 0.1054
0.5643 0.7430 0.8946
```

Results
The volume is 13.9 Å³/atom. For the energy, the calculation gives -145.40 eV per cell. Its formation energy (no corrections) is -65.70 kcal/mol of atoms. As for the density of states at the Fermi level: 0.284 states/eV/atom. The space group is C2/c (15).


The highest energy belongs to which entry? AcB2PtO8


Which value of energy does entry 1 give? -165.36 eV per cell